1.
VASP calculation (PBE) on a relaxed structure of NaSr3Ho2Se6.

Structure (POSCAR):
```
NaSr3Ho2Se6
1.0
3.6982 -6.4004 0.0000
3.6982 6.4004 0.0000
-2.4606 0.0000 6.9963
Na Sr Ho Se
1 3 2 6
direct
0.0000 0.0000 0.0000 Na
0.1628 0.8372 0.5000 Sr
0.5000 0.5000 0.5000 Sr
0.8372 0.1628 0.5000 Sr
0.3324 0.6676 0.0000 Ho
0.6676 0.3324 0.0000 Ho
0.0773 0.4217 0.2310 Se
0.2680 0.2680 0.7724 Se
0.4217 0.0773 0.2310 Se
0.5783 0.9227 0.7690 Se
0.7320 0.7320 0.2276 Se
0.9227 0.5783 0.7690 Se
```

## Properties
Mass density, g/cm³: 5.5
Energy relative to the elements, uncorrected, eV/f.u.: -22.34
VASP energy, eV per atom: -4.897



2.
VASP calculation (PBE) on a relaxed structure of CaAu.

Structure (POSCAR):
```
CaAu
1.0
4.0915 0.0000 0.0000
-2.0458 3.5434 0.0000
0.0000 0.0000 3.8373
Ca Au
1 1
direct
0.0000 0.0000 0.0000 Ca
0.3333 0.6667 0.5000 Au
```

## Properties
Mass density, g/cm³: 7.1
VASP energy, eV per atom: -3.290
E_form, eV/f.u.: -1.30



3.
VASP calculation (PBE) on a relaxed structure of TlCd2Au.

Structure (POSCAR):
```
TlCd2Au
1.0
5.3898 0.0000 0.0000
1.1765 5.3395 0.0000
2.4389 -0.4176 6.9450
Tl Cd Au
2 4 2
direct
0.1756 0.2115 0.0696 Tl
0.8244 0.7885 0.9304 Tl
0.0307 0.2637 0.6252 Cd
0.4327 0.6313 0.7084 Cd
0.5673 0.3687 0.2916 Cd
0.9693 0.7363 0.3748 Cd
0.4445 0.8917 0.3340 Au
0.5555 0.1083 0.6660 Au
```

## Properties
Mass density, g/cm³: 10.4
VASP energy, eV per atom: -1.919
Energy relative to the lowest polymorph listed for this composition, meV per atom: 41
E_form, eV/f.u.: -0.20



4.
VASP calculation (PBE) on a relaxed structure of Dy2NpPt9.

Structure (POSCAR):
```
Dy2NpPt9
1.0
4.1335 0.0000 0.0000
0.0000 4.1335 0.0000
0.0000 0.0000 12.3623
Dy Np Pt
2 1 9
direct
0.0000 0.0000 0.1639 Dy
0.0000 0.0000 0.8361 Dy
0.0000 0.0000 0.5000 Np
0.0000 0.5000 0.0000 Pt
0.0000 0.5000 0.3354 Pt
0.0000 0.5000 0.6646 Pt
0.5000 0.0000 0.0000 Pt
0.5000 0.0000 0.3354 Pt
0.5000 0.0000 0.6646 Pt
0.5000 0.5000 0.1666 Pt
0.5000 0.5000 0.5000 Pt
0.5000 0.5000 0.8334 Pt
```

## Properties
Mass density, g/cm³: 18.2
VASP energy, eV per atom: -7.286
E_form, eV/f.u.: -10.92



5.
VASP calculation (PBE) on a relaxed structure of Nd10Sm4Ho.

Structure (POSCAR):
```
Nd10Sm4Ho
1.0
-6.2221 6.2221 3.9251
6.2221 -6.2221 3.9251
6.2221 6.2221 -3.9251
Nd Sm Ho
10 4 1
direct
0.0496 0.1498 0.7017 Nd
0.1498 0.4482 0.1002 Nd
0.2500 0.7500 0.5000 Nd
0.3479 0.0496 0.8998 Nd
0.4482 0.3479 0.2983 Nd
0.5518 0.6521 0.7017 Nd
0.6521 0.9504 0.1002 Nd
0.7500 0.2500 0.5000 Nd
0.8502 0.5518 0.8998 Nd
0.9504 0.8502 0.2983 Nd
0.2007 0.6005 0.8012 Sm
0.3995 0.2007 0.6002 Sm
0.6005 0.7993 0.3998 Sm
0.7993 0.3995 0.1988 Sm
0.0000 0.0000 0.0000 Ho
```

## Properties
Mass density, g/cm³: 6.0
VASP energy, eV per atom: -4.042
E_form, eV/f.u.: 10.50



6.
VASP calculation (PBE) on a relaxed structure of Ce5SmIr6.

Structure (POSCAR):
```
Ce5SmIr6
1.0
3.5011 -6.0694 0.0000
3.5011 6.0694 0.0000
-2.3331 0.0000 6.5925
Ce Sm Ir
5 1 6
direct
0.0000 0.0000 0.0000 Ce
0.1669 0.8331 0.5000 Ce
0.3338 0.6662 0.0000 Ce
0.6662 0.3338 0.0000 Ce
0.8331 0.1669 0.5000 Ce
0.5000 0.5000 0.5000 Sm
0.0732 0.4153 0.2468 Ir
0.2436 0.2436 0.7565 Ir
0.4153 0.0732 0.2468 Ir
0.5847 0.9268 0.7532 Ir
0.7564 0.7564 0.2435 Ir
0.9268 0.5847 0.7532 Ir
```

## Properties
Mass density, g/cm³: 11.9
VASP energy, eV per atom: -7.967
E_form, eV/f.u.: -8.05



7.
VASP calculation (PBE) on a relaxed structure of SrHf3Tl.

Structure (POSCAR):
```
SrHf3Tl
1.0
5.4506 0.0000 0.0000
0.0000 5.4506 0.0000
0.0000 0.0000 5.4506
Sr Hf Tl
1 3 1
direct
0.0000 0.0000 0.0000 Sr
0.0000 0.5000 0.5000 Hf
0.5000 0.0000 0.5000 Hf
0.5000 0.5000 0.0000 Hf
0.5000 0.5000 0.5000 Tl
```

## Properties
Mass density, g/cm³: 8.5
VASP energy, eV per atom: -5.616
Energy relative to the lowest polymorph listed for this composition, meV per atom: 0
E_form, eV/f.u.: 5.83



8.
VASP calculation (PBE) on a relaxed structure of MnCrAu4.

Structure (POSCAR):
```
MnCrAu4
1.0
0.0000 3.8598 3.8598
3.8598 0.0000 3.8598
3.8598 3.8598 0.0000
Mn Cr Au
1 1 4
direct
0.0000 0.0000 0.0000 Mn
0.2500 0.2500 0.2500 Cr
0.1250 0.6250 0.6250 Au
0.6250 0.1250 0.6250 Au
0.6250 0.6250 0.1250 Au
0.6250 0.6250 0.6250 Au
```

## Properties
Mass density, g/cm³: 12.9
VASP energy, eV per atom: -5.011
E_form, eV/f.u.: 1.84



> Which of these has the highest VASP energy?

TlCd2Au